(1)
IrPdRhI2 | the Alexandria database | PBE-GGA | relaxed; VASP energy = -18.36 eV for the cell shown
1.0
5.2874 0.0000 0.0000
0.0000 4.9045 0.0000
0.0000 0.0000 5.2874
I Ir Rh Pd
2 1 1 1
Direct
0.0000 0.0000 0.5000
0.5000 0.0000 0.0000
0.0000 0.0000 0.0000
0.5000 0.5000 0.5000
0.0000 0.5000 0.0000

=====

(2)
Rb3OF | the Alexandria database | PBE-GGA | relaxed; VASP energy = -35.23 eV for the cell shown
1.0
-4.0395 1.5011 -3.3347
-3.0082 -1.3236 3.0482
-2.5815 11.0400 2.2462
Rb O F
6 2 2
Direct
0.6720 0.2500 0.0554
0.3280 0.7500 0.9446
0.9212 0.7500 0.2769
0.0788 0.2500 0.7231
0.3357 0.2500 0.3823
0.6643 0.7500 0.6177
0.4702 0.7500 0.1797
0.5298 0.2500 0.8203
0.8046 0.2500 0.4271
0.1954 0.7500 0.5729

=====

(3)
Li2MnTc | the Alexandria database | PBE-GGA | relaxed; formation energy from the elements = 0.219 eV per atom
1.0
2.6593 0.0176 0.0000
-1.0001 2.4642 0.0000
0.0000 0.0000 9.1151
Li Mn Tc
2 1 1
Direct
0.0000 0.0000 0.9822
0.5000 0.5000 0.2689
0.0000 0.0000 0.5176
0.5000 0.5000 0.7313

=====

(4)
Ba8Bi3TeI4 | the Alexandria database | PBE-GGA | relaxed; VASP energy = -58.51 eV for the cell shown
1.0
-6.5076 -2.0286 -7.6176
-0.9600 -9.5623 3.3667
-1.7834 7.8581 6.2895
Ba Bi Te I
8 3 1 4
Direct
0.2430 0.7239 0.9810
0.2431 0.7241 0.4863
0.2583 0.2750 0.5166
0.7379 0.7239 0.9810
0.2621 0.2761 0.0190
0.7417 0.7250 0.4834
0.7569 0.2759 0.5137
0.7570 0.2761 0.0190
0.5000 0.5000 0.0000
0.5000 0.5000 0.5000
0.0000 0.5000 0.5000
0.0000 0.5000 0.0000
0.5000 0.0000 0.0000
0.5000 0.0000 0.5000
0.0000 0.0000 0.0000
0.0000 0.0000 0.5000

=====

no.,magnetic moment (μB/atom)
1,0.43
2,0.02
3,0.60
4,0.00